The following is a DFT calculation (PBE) of Y3Zn2SiNi9 after structural relaxation.

Cell lengths 5.9965, 5.9965, 8.1618 Å; angles 90.00, 90.00, 120.00 degrees
Sites, in units of the cell vectors:
Zn: 0.6667 0.3333 0.8075
Zn: 0.3333 0.6667 0.1925
Ni: 0.8659 0.1341 0.7096
Ni: 0.8659 0.7319 0.7096
Ni: 0.0000 0.5000 0.0000
Ni: 0.1341 0.2681 0.2904
Ni: 0.2681 0.1341 0.7096
Ni: 0.5000 0.0000 0.0000
Ni: 0.5000 0.5000 0.0000
Ni: 0.7319 0.8659 0.2904
Ni: 0.1341 0.8659 0.2904
Y: 0.3333 0.6667 0.6906
Y: 0.6667 0.3333 0.3094
Y: 0.0000 0.0000 0.0000
Si: 0.0000 0.0000 0.5000

Values from the calculation:
Fermi-level density of states: 9.99 states/eV per cell
Energy relative to the elements, uncorrected: -117 kJ/mol of formula units
Total DFT energy (no corrections): -5.3737 eV per atom
Magnetic moment: 0.00 μB/f.u.
Symmetry: P-3m1, No. 164